Entry 1:
This record from Alexandria describes crystalline Pr12Tl4AgO3 at its relaxed geometry. The functional is GGA-PBE.

```
20
Lattice="-5.208 5.208 5.208 5.208 -5.208 5.208 5.208 5.208 -5.208" Properties=species:S:1:pos:R:3 pbc="T T T"
Pr 2.823 0.000 0.000
Pr 7.593 0.000 0.000
Pr 5.208 2.604 0.000
Pr 5.208 0.000 2.604
Pr 0.000 2.823 0.000
Pr 0.000 0.000 2.823
Pr 2.604 5.208 0.000
Pr 2.604 0.000 5.208
Pr 0.000 7.593 0.000
Pr 0.000 0.000 7.593
Pr 0.000 5.208 2.604
Pr 0.000 2.604 5.208
Tl 2.604 2.604 -2.604
Tl 2.604 -2.604 2.604
Tl -2.604 2.604 2.604
Tl 2.604 2.604 2.604
Ag 0.000 0.000 0.000
O 5.208 0.000 0.000
O 0.000 5.208 0.000
O 0.000 0.000 5.208
```

The value obtained for the total moment is 0.00 μB/f.u. Its uncorrected formation energy is -18.1 eV/f.u. The density is 7.83 g/cm3.

---

Entry 2:
This record from Alexandria describes crystalline ReAgPS2 at its relaxed geometry. The functional is GGA-PBE.

```
5
Lattice="4.757 0.000 0.000 0.000 4.757 0.000 0.000 0.000 4.764" Properties=species:S:1:pos:R:3 pbc="T T T"
Re 0.000 0.000 0.000
Ag 2.378 2.378 2.382
P 2.378 2.378 0.000
S 0.000 2.378 2.382
S 2.378 0.000 2.382
```

The value obtained for the total moment is 3.06 μB/f.u. Its uncorrected formation energy is 8.8 eV/f.u. The density is 6.00 g/cm3.

---

Entry 3:
This record from Alexandria describes crystalline La2Tb5Sm2 at its relaxed geometry. The functional is GGA-PBE.

```
18
Lattice="-7.535 6.012 3.393 7.535 -6.012 3.393 7.535 6.012 -3.393" Properties=species:S:1:pos:R:3 pbc="T T T"
La 1.908 0.037 0.000
La 5.627 0.037 0.000
La 1.908 5.975 3.393
La 5.627 5.975 3.393
Tb 8.334 3.047 -0.964
Tb 6.736 -2.965 2.429
Tb 11.302 2.866 1.010
Tb 2.156 3.224 1.189
Tb 5.379 3.224 1.189
Tb -0.799 2.965 2.429
Tb 8.334 2.965 2.429
Tb -2.156 8.800 1.189
Tb 2.156 2.788 4.582
Tb -3.767 3.146 4.403
Sm 3.767 5.935 -0.262
Sm 3.767 0.078 3.131
Sm 0.000 6.012 0.261
Sm 0.000 0.000 3.653
```

The value obtained for the total moment is 0.00 μB/f.u. The density is 7.42 g/cm3. Its formation energy is 1.74 eV per formula unit.

---

Entry 4:
This record from Alexandria describes crystalline Pr4GaSiCl2 at its relaxed geometry. The functional is GGA-PBE.

```
8
Lattice="7.377 0.000 0.000 0.000 4.266 0.000 -2.527 0.000 7.085" Properties=species:S:1:pos:R:3 pbc="T T T"
Pr 1.091 0.000 1.712
Pr -0.160 2.133 5.319
Pr 5.010 2.133 1.766
Pr 3.759 0.000 5.372
Ga -1.263 0.000 3.542
Si 0.000 2.133 0.000
Cl 3.689 0.000 0.000
Cl 2.425 2.133 3.542
```

The value obtained for the total moment is 0.00 μB/f.u. Its uncorrected formation energy is -8.8 eV/f.u. The density is 5.45 g/cm3.

---

Entry 5:
This record from Alexandria describes crystalline ThSnP2O8 at its relaxed geometry. The functional is GGA-PBE.

```
12
Lattice="2.529 1.460 7.501 -2.529 1.460 7.501 0.000 -2.920 7.501" Properties=species:S:1:pos:R:3 pbc="T T T"
Th 0.000 0.000 0.000
Sn 0.000 0.000 11.252
P 0.000 0.000 5.517
P 0.000 0.000 16.986
O -1.750 -0.225 8.920
O 0.000 0.000 3.994
O -0.680 -1.628 13.583
O 1.070 -1.403 8.920
O -1.070 1.403 13.583
O 0.680 1.628 8.920
O 0.000 0.000 18.509
O 1.750 0.225 13.583
```

The value obtained for the total moment is 0.00 μB/f.u. Its uncorrected formation energy is -29.5 eV/f.u. The density is 5.40 g/cm3.

---

Entry 6:
This record from Alexandria describes crystalline LiSn2GeSe4 at its relaxed geometry. The functional is GGA-PBE.

```
8
Lattice="7.050 0.000 0.000 0.000 4.047 0.000 -2.343 0.000 6.688" Properties=species:S:1:pos:R:3 pbc="T T T"
Li 0.000 0.000 0.000
Sn 2.353 0.000 3.344
Sn 3.525 2.023 0.000
Ge -1.172 2.023 3.344
Se -0.107 0.000 4.989
Se 1.069 2.023 1.636
Se 4.814 0.000 1.699
Se 3.638 2.023 5.052
```

The value obtained for the total moment is 0.00 μB/f.u. Its uncorrected formation energy is -4.1 eV/f.u. The density is 5.51 g/cm3.

---

Entry 7:
This record from Alexandria describes crystalline LaBiSe2O at its relaxed geometry. The functional is GGA-PBE.

```
5
Lattice="5.546 0.000 0.000 0.000 5.546 0.000 0.000 0.000 6.796" Properties=species:S:1:pos:R:3 pbc="T T T"
La 0.000 0.000 0.000
Bi 0.000 0.000 3.398
Se 0.000 2.773 0.000
Se 2.773 0.000 0.000
O 2.773 2.773 3.398
```

The value obtained for the total moment is 0.58 μB/f.u. Its uncorrected formation energy is 2.7 eV/f.u. The density is 4.15 g/cm3.

---

Entry 8:
This record from Alexandria describes crystalline Tb2Pr2Ga3 at its relaxed geometry. The functional is GGA-PBE.

```
7
Lattice="3.663 0.000 0.000 1.825 7.283 0.000 0.001 3.209 7.042" Properties=species:S:1:pos:R:3 pbc="T T T"
Tb 0.912 3.082 2.006
Tb 4.578 7.410 5.036
Pr 0.915 3.460 5.423
Pr 4.575 7.032 1.619
Ga 2.744 4.950 0.276
Ga 2.745 5.246 3.521
Ga 2.745 5.542 6.767
```

The value obtained for the total moment is 0.00 μB/f.u. The density is 7.15 g/cm3. Its formation energy is -2.98 eV per formula unit.

---

Which value of total moment does entry 2 give? 3.06 μB/f.u.

---

Look up the total moment of the second one. 3.06 μB/f.u.